[1]
Entry from Alexandria: crystalline Pr4TlBiH at its relaxed geometry (PBE-GGA).

Unit cell a=6.6797 b=17.9484 c=6.7155 alpha=90.00 beta=90.00 gamma=90.00
Space group Cmcm (No. 63)
Symmetry-distinct sites (fractional):
1 Pr 0.0000 0.0690 0.2500 [4 per cell]
2 Pr 0.0000 0.4266 0.2500 [4 per cell]
3 Pr 0.2500 0.2500 0.0000 [8 per cell]
4 Tl 0.0000 0.1113 0.7500 [4 per cell]
5 Bi 0.0000 0.3885 0.7500 [4 per cell]
6 H 0.0000 0.2918 0.2500 [4 per cell]

Properties
uncorrected energy: -129.62 eV per cell

---

[2]
Entry from Alexandria: crystalline BiHPt at its relaxed geometry (PBE-GGA).

Unit cell a=4.8468 b=5.1706 c=8.3062 alpha=90.00 beta=90.00 gamma=90.00
Space group P2_12_12_1 (No. 19)
Symmetry-distinct sites (fractional):
1 Bi 0.1078 0.0001 0.0117 [4 per cell]
2 H 0.1230 0.4986 0.7815 [4 per cell]
3 Pt 0.1036 0.5004 0.1702 [4 per cell]

Properties
ΔE to the lowest computed polymorph: 5.48 kJ per mole of atoms

---

[3]
Entry from Alexandria: crystalline BiH2Pt2 at its relaxed geometry (PBE-GGA).

Unit cell a=6.8421 b=6.8421 c=2.9954 alpha=90.00 beta=90.00 gamma=90.00
Space group P4/mbm (No. 127)
Symmetry-distinct sites (fractional):
1 Bi 0.0000 0.0000 0.0000 [2 per cell]
2 H 0.0558 0.4442 0.0000 [4 per cell]
3 Pt 0.1426 0.6426 0.5000 [4 per cell]

Properties
ΔE to the lowest computed polymorph: 43.74 kJ per mole of atoms

---

[4]
Entry from Alexandria: crystalline BiH3Pt at its relaxed geometry (PBE-GGA).

Unit cell a=4.0495 b=4.0495 c=4.0495 alpha=90.00 beta=90.00 gamma=90.00
Space group Pm-3m (No. 221)
Symmetry-distinct sites (fractional):
1 Bi 0.0000 0.0000 0.0000 [1 per cell]
2 H 0.0000 0.0000 0.5000 [3 per cell]
3 Pt 0.5000 0.5000 0.5000 [1 per cell]

Properties
ΔE to the lowest computed polymorph: 96.34 kJ per mole of atoms

---

[5]
Entry from Alexandria: crystalline BiHPt at its relaxed geometry (PBE-GGA).

Unit cell a=3.2573 b=3.2573 c=5.2449 alpha=90.00 beta=90.00 gamma=120.00
Space group P-6m2 (No. 187)
Symmetry-distinct sites (fractional):
1 Bi 0.0000 0.0000 0.0000 [1 per cell]
2 H 0.6667 0.3333 0.5000 [1 per cell]
3 Pt 0.3333 0.6667 0.5000 [1 per cell]

Properties
ΔE to the lowest computed polymorph: 20.17 kJ per mole of atoms

---

[6]
Entry from Alexandria: crystalline Bi2HPt at its relaxed geometry (PBE-GGA).

Unit cell a=6.7928 b=6.7928 c=6.7928 alpha=90.00 beta=90.00 gamma=90.00
Space group Fm-3m (No. 225)
Symmetry-distinct sites (fractional):
1 Bi 0.2500 0.2500 0.2500 [8 per cell]
2 H 0.0000 0.0000 0.0000 [4 per cell]
3 Pt 0.0000 0.0000 0.5000 [4 per cell]

Properties
ΔE to the lowest computed polymorph: 0.00 kJ per mole of atoms

---

[7]
Entry from Alexandria: crystalline BiHPt at its relaxed geometry (PBE-GGA).

Unit cell a=3.6947 b=4.4078 c=6.3986 alpha=90.00 beta=90.08 gamma=90.00
Space group P2_1/m (No. 11)
Symmetry-distinct sites (fractional):
1 Bi 0.0002 0.2500 0.2471 [2 per cell]
2 H 0.4997 0.2500 0.6084 [2 per cell]
3 Pt 0.5004 0.2500 0.8615 [2 per cell]

Properties
ΔE to the lowest computed polymorph: 5.96 kJ per mole of atoms

---

[8]
Entry from Alexandria: crystalline BiH3Pt at its relaxed geometry (PBE-GGA).

Unit cell a=4.6961 b=5.4749 c=5.9360 alpha=108.40 beta=96.92 gamma=103.26
Space group P-1 (No. 2)
Symmetry-distinct sites (fractional):
1 Bi 0.2382 0.3608 0.1015 [2 per cell]
2 H 0.0084 0.8432 0.5553 [2 per cell]
3 H 0.3930 0.9016 0.1180 [2 per cell]
4 H 0.4795 0.8106 0.4794 [2 per cell]
5 Pt 0.2027 0.9287 0.3315 [2 per cell]

Properties
ΔE to the lowest computed polymorph: 0.00 kJ per mole of atoms

---

Question: Number 5 is which compound?
Answer: BiHPt

---

Repeat the fifth record exactly.
Entry from Alexandria: crystalline BiHPt at its relaxed geometry (PBE-GGA).

Unit cell a=3.2573 b=3.2573 c=5.2449 alpha=90.00 beta=90.00 gamma=120.00
Space group P-6m2 (No. 187)
Symmetry-distinct sites (fractional):
1 Bi 0.0000 0.0000 0.0000 [1 per cell]
2 H 0.6667 0.3333 0.5000 [1 per cell]
3 Pt 0.3333 0.6667 0.5000 [1 per cell]

Properties
ΔE to the lowest computed polymorph: 20.17 kJ per mole of atoms